1.
A geometry-optimized TcOsCl4 structure. Source: Alexandria, functional PBE.

Output
**Theoretical density**: 5.565 g cm⁻³
**ΔE_f (raw)**: 1.87 eV per atom
**Density of states at the Fermi level**: 8.5 states/eV/cell
**Energy**: -2.96 eV/atom
**SG**: F-43m, No. 216
**Magnetization**: 6.48 μB/cell

Unit cell a=5.6616 b=5.6616 c=5.6616 alpha=60.00 beta=60.00 gamma=60.00
Closest atoms and distances in Å follow each position.
Fractional coordinates of all 6 atoms:
Tc 0.0000 0.0000 0.0000  12 Cl 3.32, 4 Os 3.47
Os 0.2500 0.2500 0.2500  12 Cl 3.32, 4 Tc 3.47
Cl 0.1264 0.6245 0.6245  6 Cl 2.82-2.84
Cl 0.6245 0.1264 0.6245  6 Cl 2.82-2.84
Cl 0.6245 0.6245 0.1264  6 Cl 2.82-2.84
Cl 0.6245 0.6245 0.6245  6 Cl 2.82-2.84

=====

2.
A geometry-optimized TcOsCl structure. Source: Alexandria, functional PBE.

Output
**Theoretical density**: 11.803 g cm⁻³
**ΔE_f (raw)**: 0.36 eV per atom
**Density of states at the Fermi level**: 2.7 states/eV/cell
**Energy**: -7.45 eV/atom
**SG**: P3m1, No. 156
**Magnetization**: 0.00 μB/cell

Unit cell a=2.8631 b=2.8631 c=6.4145 alpha=90.00 beta=90.00 gamma=120.00
Closest atoms and distances in Å follow each position.
Fractional coordinates of all 3 atoms:
Tc 0.0000 0.0000 0.0000  3 Os 2.59, 3 Cl 2.60, 6 Tc 2.86
Os 0.3333 0.6667 0.6898  3 Tc 2.59, 6 Os 2.86
Cl 0.6667 0.3333 0.3134  3 Tc 2.60, 6 Cl 2.86

=====

3.
A geometry-optimized TcOsCl3 structure. Source: Alexandria, functional PBE.

Output
**Theoretical density**: 5.473 g cm⁻³
**ΔE_f (raw)**: 1.21 eV per atom
**Density of states at the Fermi level**: 8.0 states/eV/cell
**Energy**: -4.22 eV/atom
**SG**: Pm-3m, No. 221
**Magnetization**: 7.60 μB/cell

Unit cell a=4.9287 b=4.9287 c=4.9287 alpha=90.00 beta=90.00 gamma=90.00
Closest atoms and distances in Å follow each position.
Fractional coordinates of all 5 atoms:
Tc 0.0000 0.0000 0.0000  6 Cl 2.46
Os 0.5000 0.5000 0.5000  12 Cl 3.49
Cl 0.0000 0.0000 0.5000  2 Tc 2.46
Cl 0.0000 0.5000 0.0000  2 Tc 2.46
Cl 0.5000 0.0000 0.0000  2 Tc 2.46

=====

4.
A geometry-optimized TcOsCl structure. Source: Alexandria, functional PBE.

Output
**Theoretical density**: 11.224 g cm⁻³
**ΔE_f (raw)**: 0.46 eV per atom
**Density of states at the Fermi level**: 2.0 states/eV/cell
**Energy**: -7.36 eV/atom
**SG**: I4mm, No. 107
**Magnetization**: 0.00 μB/cell

Unit cell a=6.0269 b=6.0269 c=6.0269 alpha=152.09 beta=152.09 gamma=39.89
Closest atoms and distances in Å follow each position.
Fractional coordinates of all 3 atoms:
Tc 0.0000 0.0000 0.0000  4 Os 2.55, 4 Cl 2.80
Os 0.6333 0.6333 0.0000  4 Tc 2.55
Cl 0.3318 0.3318 0.0000  4 Tc 2.80, 4 Cl 2.91, 4 Os 3.05

=====

5.
A geometry-optimized TcOsCl2 structure. Source: Alexandria, functional PBE.

Output
**Theoretical density**: 7.963 g cm⁻³
**ΔE_f (raw)**: 0.08 eV per atom
**Density of states at the Fermi level**: 0.7 states/eV/cell
**Energy**: -6.24 eV/atom
**SG**: P4mm, No. 99
**Magnetization**: 0.00 μB/cell

Unit cell a=2.9250 b=2.9250 c=8.7537 alpha=90.00 beta=90.00 gamma=90.00
Closest atoms and distances in Å follow each position.
Fractional coordinates of all 4 atoms:
Tc 0.0000 0.0000 0.0000  4 Os 2.60, 4 Cl 2.69
Os 0.5000 0.5000 0.8201  4 Tc 2.60, 4 Cl 2.74
Cl 0.0000 0.0000 0.6147  4 Os 2.74, 4 Cl 2.93
Cl 0.5000 0.5000 0.1965  4 Tc 2.69, 4 Cl 2.93

=====

6.
A geometry-optimized TcOsCl2 structure. Source: Alexandria, functional PBE.

Output
**Theoretical density**: 6.394 g cm⁻³
**ΔE_f (raw)**: 0.74 eV per atom
**Density of states at the Fermi level**: 2.5 states/eV/cell
**Energy**: -5.59 eV/atom
**SG**: Immm, No. 71
**Magnetization**: 3.13 μB/cell

Unit cell a=7.3073 b=7.3073 c=7.3073 alpha=156.82 beta=142.50 gamma=44.55
Closest atoms and distances in Å follow each position.
Fractional coordinates of all 4 atoms:
Tc 0.0000 0.0000 0.0000  4 Os 2.77, 2 Tc 2.94, 4 Cl 3.03
Os 0.5000 0.5000 0.0000  4 Cl 2.42
Cl 0.3581 0.8581 0.5000  2 Os 2.42
Cl 0.6419 0.1419 0.5000  2 Os 2.42

=====

7.
A geometry-optimized TcOsCl2 structure. Source: Alexandria, functional PBE.

Output
**Theoretical density**: 9.607 g cm⁻³
**ΔE_f (raw)**: 0.69 eV per atom
**Density of states at the Fermi level**: 4.0 states/eV/cell
**Energy**: -5.63 eV/atom
**SG**: R-3m, No. 166
**Magnetization**: 0.00 μB/cell

Unit cell a=8.4190 b=8.4190 c=8.4190 alpha=20.17 beta=20.17 gamma=20.17
Closest atoms and distances in Å follow each position.
Fractional coordinates of all 4 atoms:
Tc 0.0000 0.0000 0.0000  6 Cl 2.52
Os 0.5000 0.5000 0.5000  2 Cl 2.27
Cl 0.4082 0.4082 0.4082  1 Os 2.27, 3 Tc 2.52
Cl 0.5918 0.5918 0.5918  1 Os 2.27, 3 Tc 2.52

=====

8.
A geometry-optimized TcOsCl2 structure. Source: Alexandria, functional PBE.

Output
**Theoretical density**: 8.010 g cm⁻³
**ΔE_f (raw)**: 1.35 eV per atom
**Density of states at the Fermi level**: 11.6 states/eV/cell
**Energy**: -4.97 eV/atom
**SG**: I-42d, No. 122
**Magnetization**: 0.00 μB/cell

Unit cell a=6.3490 b=6.3490 c=6.3490 alpha=129.42 beta=129.42 gamma=74.34
Closest atoms and distances in Å follow each position.
Fractional coordinates of all 8 atoms:
Tc 0.0000 0.0000 0.0000  4 Cl 2.30
Tc 0.7500 0.2500 0.5000  4 Cl 2.30
Os 0.2500 0.7500 0.5000  4 Cl 2.30
Os 0.5000 0.5000 0.0000  4 Cl 2.30
Cl 0.1249 0.6250 0.9999  2 Tc 2.30, 2 Os 2.30
Cl 0.3750 0.3749 0.4999  2 Tc 2.30, 2 Os 2.30
Cl 0.6251 0.1250 0.0001  2 Tc 2.30, 2 Os 2.30
Cl 0.8750 0.8751 0.5001  2 Tc 2.30, 2 Os 2.30

=====

9.
A geometry-optimized TcOsCl structure. Source: Alexandria, functional PBE.

Output
**Theoretical density**: 10.227 g cm⁻³
**ΔE_f (raw)**: 1.06 eV per atom
**Density of states at the Fermi level**: 3.9 states/eV/cell
**Energy**: -6.76 eV/atom
**SG**: F-43m, No. 216
**Magnetization**: 0.00 μB/cell

Unit cell a=4.2045 b=4.2045 c=4.2045 alpha=60.00 beta=60.00 gamma=60.00
Closest atoms and distances in Å follow each position.
Fractional coordinates of all 3 atoms:
Tc 0.0000 0.0000 0.0000  4 Cl 2.57, 4 Os 2.57
Os 0.7500 0.7500 0.7500  4 Tc 2.57
Cl 0.2500 0.2500 0.2500  4 Tc 2.57

=====

10.
A geometry-optimized TcOsCl2 structure. Source: Alexandria, functional PBE.

Output
**Theoretical density**: 9.378 g cm⁻³
**ΔE_f (raw)**: 1.15 eV per atom
**Density of states at the Fermi level**: 4.0 states/eV/cell
**Energy**: -5.17 eV/atom
**SG**: F-43m, No. 216
**Magnetization**: 0.47 μB/cell

Unit cell a=4.4802 b=4.4802 c=4.4802 alpha=60.00 beta=60.00 gamma=60.00
Closest atoms and distances in Å follow each position.
Fractional coordinates of all 4 atoms:
Tc 0.0000 0.0000 0.0000  4 Os 2.74, 4 Cl 2.74
Os 0.7500 0.7500 0.7500  4 Tc 2.74, 4 Cl 2.74
Cl 0.2500 0.2500 0.2500  4 Cl 2.74, 4 Tc 2.74
Cl 0.5000 0.5000 0.5000  4 Os 2.74, 4 Cl 2.74

=====

11.
A geometry-optimized TcOsCl2 structure. Source: Alexandria, functional PBE.

Output
**Theoretical density**: 9.560 g cm⁻³
**ΔE_f (raw)**: 1.04 eV per atom
**Density of states at the Fermi level**: 3.2 states/eV/cell
**Energy**: -5.29 eV/atom
**SG**: I-4m2, No. 119
**Magnetization**: 0.00 μB/cell

Unit cell a=4.3280 b=4.3280 c=4.3280 alpha=110.21 beta=110.21 gamma=108.00
Closest atoms and distances in Å follow each position.
Fractional coordinates of all 4 atoms:
Tc 0.0000 0.0000 0.0000  6 Cl 2.54-2.78, 4 Os 2.78
Os 0.2500 0.7500 0.5000  6 Cl 2.54-2.78, 4 Tc 2.78
Cl 0.5000 0.5000 0.0000  2 Tc 2.54, 4 Cl 2.78, 4 Os 2.78
Cl 0.7500 0.2500 0.5000  2 Os 2.54, 4 Cl 2.78, 4 Tc 2.78

=====

12.
A geometry-optimized TcOsCl2 structure. Source: Alexandria, functional PBE.

Output
**Theoretical density**: 9.386 g cm⁻³
**ΔE_f (raw)**: 0.98 eV per atom
**Density of states at the Fermi level**: 3.1 states/eV/cell
**Energy**: -5.34 eV/atom
**SG**: Pmmm, No. 47
**Magnetization**: 1.68 μB/cell

Unit cell a=2.8323 b=4.2461 c=5.2834 alpha=90.00 beta=90.00 gamma=90.00
Closest atoms and distances in Å follow each position.
Fractional coordinates of all 4 atoms:
Tc 0.0000 0.0000 0.0000  4 Cl 2.55, 2 Tc 2.83
Os 0.5000 0.0000 0.5000  4 Cl 2.55, 2 Os 2.83
Cl 0.0000 0.5000 0.5000  4 Os 2.55, 2 Cl 2.83
Cl 0.5000 0.5000 0.0000  4 Tc 2.55, 2 Cl 2.83

=====

13.
A geometry-optimized TcOs4Cl structure. Source: Alexandria, functional PBE.

Output
**Theoretical density**: 15.151 g cm⁻³
**ΔE_f (raw)**: 1.35 eV per atom
**Density of states at the Fermi level**: 9.7 states/eV/cell
**Energy**: -8.18 eV/atom
**SG**: F-43m, No. 216
**Magnetization**: 0.66 μB/cell

Unit cell a=5.1754 b=5.1754 c=5.1754 alpha=60.00 beta=60.00 gamma=60.00
Closest atoms and distances in Å follow each position.
Fractional coordinates of all 6 atoms:
Tc 0.0000 0.0000 0.0000  12 Os 3.03, 4 Cl 3.17
Os 0.3747 0.3747 0.3747  6 Os 2.58-2.59
Os 0.3747 0.3747 0.8759  6 Os 2.58-2.59
Os 0.3747 0.8759 0.3747  6 Os 2.58-2.59
Os 0.8759 0.3747 0.3747  6 Os 2.58-2.59
Cl 0.7500 0.7500 0.7500  12 Os 3.04, 4 Tc 3.17

=====

14.
A geometry-optimized TcOsCl2 structure. Source: Alexandria, functional PBE.

Output
**Theoretical density**: 6.202 g cm⁻³
**ΔE_f (raw)**: -0.02 eV per atom
**Density of states at the Fermi level**: 3.4 states/eV/cell
**Energy**: -6.34 eV/atom
**SG**: Cm, No. 8
**Magnetization**: 0.00 μB/cell

Unit cell a=3.5463 b=3.5463 c=8.8452 alpha=93.11 beta=93.11 gamma=60.00
Closest atoms and distances in Å follow each position.
Fractional coordinates of all 4 atoms:
Tc 0.0000 0.0000 0.0000  3 Os 2.39
Os 0.6540 0.6540 0.8608  1 Cl 2.23, 3 Tc 2.39
Cl 0.3507 0.3507 0.1955  3 Tc 2.68
Cl 0.6310 0.6310 0.6083  1 Os 2.23

=====

15.
A geometry-optimized TcOsCl2 structure. Source: Alexandria, functional PBE.

Output
**Theoretical density**: 6.809 g cm⁻³
**ΔE_f (raw)**: 0.37 eV per atom
**Density of states at the Fermi level**: 1.5 states/eV/cell
**Energy**: -5.96 eV/atom
**SG**: Imm2, No. 44
**Magnetization**: 0.00 μB/cell

Unit cell a=9.0590 b=9.0590 c=9.0590 alpha=160.99 beta=158.79 gamma=28.63
Closest atoms and distances in Å follow each position.
Fractional coordinates of all 4 atoms:
Tc 0.0000 0.0000 0.0000  2 Os 2.29
Os 0.5896 0.0896 0.5000  2 Tc 2.29
Cl 0.1882 0.6882 0.5000  4 Os 2.83, 2 Cl 2.99
Cl 0.4067 0.4067 0.0000  4 Tc 2.77, 2 Cl 2.99